DFT (PBE) results for K2RuPbO6 after structural relaxation.

## Properties
For the formation energy from raw total energies, the calculation gives -10.2 eV per formula unit. The value obtained for the total energy is -5.511 eV per atom. The calculation puts the magnetic moment at 1.47 μB/cell.

Lattice parameters (Å, degrees): 5.8521 5.8531 5.8561 60.83 60.75 60.87
Closest atoms and distances in Å follow each position.
Element x y z (fractional)
K (0.2495, 0.2492, 0.2492)  9 O 2.67-2.99
K (0.7505, 0.7508, 0.7508)  9 O 2.67-2.99
Ru (0.0000, 0.0000, 0.0000)  6 O 1.93
Pb (0.5000, 0.5000, 0.5000)  6 O 2.27-2.28
O (0.1797, 0.2798, 0.7761)  1 Ru 1.93
O (0.2274, 0.8199, 0.7213)  1 Ru 1.93
O (0.2769, 0.7767, 0.1812)  1 Ru 1.93
O (0.7231, 0.2233, 0.8188)  1 Ru 1.93
O (0.7726, 0.1801, 0.2787)  1 Ru 1.93
O (0.8203, 0.7202, 0.2239)  1 Ru 1.93